Co2SbMoO6: relaxed, GGA+U.

Results
total magnetic moment = 5.0 μB per formula unit
E = -6.28 eV/atom
volume = 11.58 Å³/atom

Unit cell a=5.421 b=5.303 c=5.649 alpha=61.01 beta=61.94 gamma=58.43
Positions (direct):
O: 0.235 0.862 0.253
O: 0.664 0.230 0.267
O: 0.415 0.751 0.709
O: 0.136 0.419 0.745
O: 0.853 0.630 0.265
O: 0.717 0.131 0.744
Sb: 0.295 0.284 0.096
Co: 0.511 0.510 0.477
Co: 0.026 0.029 0.914
Mo: 0.810 0.815 0.544

***

CoSbMoO6: relaxed, GGA+U.

Results
total magnetic moment = 4.0 μB per formula unit
N(E_F) = 0.22 states/eV per atom
E = -6.41 eV/atom
volume = 11.92 Å³/atom

Unit cell a=5.249 b=5.249 c=8.992 alpha=90.00 beta=90.00 gamma=120.00
Positions (direct):
O: 0.653 0.651 0.631
O: 0.347 0.349 0.369
O: 0.653 0.002 0.869
O: 0.998 0.347 0.631
O: 0.998 0.651 0.869
O: 0.651 0.653 0.131
O: 0.347 0.998 0.131
O: 0.002 0.653 0.369
O: 0.002 0.349 0.131
O: 0.349 0.347 0.869
O: 0.651 0.998 0.369
O: 0.349 0.002 0.631
Mo: 0.667 0.333 0.750
Mo: 0.333 0.667 0.250
Sb: 0.333 0.667 0.750
Sb: 0.667 0.333 0.250
Co: 0.000 0.000 0.000
Co: 0.000 0.000 0.500

***

CoTc2MoO: relaxed, GGA+U.

Results
total magnetic moment = 1.5 μB per formula unit
N(E_F) = 1.35 states/eV per atom
E = -6.32 eV/atom
volume = 14.51 Å³/atom

Unit cell a=4.704 b=3.278 c=4.704 alpha=90.00 beta=90.00 gamma=90.00
Positions (direct):
Co: 0.000 0.000 0.000
O: 0.000 0.500 0.000
Tc: 0.500 0.000 0.000
Tc: 0.000 0.000 0.500
Mo: 0.500 0.500 0.500

***

CoTeMoO6: relaxed, GGA+U.

Results
total magnetic moment = 3.0 μB per formula unit
N(E_F) = 0.00 states/eV per atom
E = -6.30 eV/atom
E above lowest polymorph = 0 meV per atom
volume = 13.98 Å³/atom

Unit cell a=5.111 b=5.337 c=9.224 alpha=90.00 beta=90.00 gamma=90.00
Positions (direct):
O: 0.656 0.788 0.085
O: 0.738 0.682 0.700
O: 0.238 0.818 0.300
O: 0.780 0.677 0.396
O: 0.156 0.712 0.915
O: 0.762 0.182 0.300
O: 0.720 0.177 0.604
O: 0.280 0.823 0.604
O: 0.220 0.323 0.396
O: 0.344 0.212 0.085
O: 0.262 0.318 0.700
O: 0.844 0.288 0.915
Te: 0.000 0.500 0.261
Te: 0.500 0.000 0.739
Mo: 0.000 0.500 0.801
Mo: 0.500 0.000 0.199
Co: 0.500 0.500 0.528
Co: 0.000 0.000 0.472

***

CoTeMoO6: relaxed, GGA+U.

Results
total magnetic moment = 3.0 μB per formula unit
E = -6.15 eV/atom
E above lowest polymorph = 148 meV per atom
volume = 12.26 Å³/atom

Unit cell a=5.355 b=5.355 c=8.889 alpha=90.00 beta=90.00 gamma=120.00
Positions (direct):
O: 0.025 0.668 0.370
O: 0.643 0.668 0.130
O: 0.975 0.643 0.870
O: 0.668 0.025 0.870
O: 0.668 0.643 0.630
O: 0.332 0.975 0.130
O: 0.332 0.357 0.370
O: 0.643 0.975 0.370
O: 0.357 0.332 0.870
O: 0.025 0.357 0.130
O: 0.975 0.332 0.630
O: 0.357 0.025 0.630
Co: 0.000 0.000 0.500
Co: 0.000 0.000 0.000
Te: 0.333 0.667 0.750
Te: 0.667 0.333 0.250
Mo: 0.333 0.667 0.250
Mo: 0.667 0.333 0.750

***

TiCoMoO6: relaxed, GGA+U.

Results
total magnetic moment = 1.0 μB per formula unit
E = -7.40 eV/atom
volume = 10.48 Å³/atom

Unit cell a=4.578 b=4.578 c=9.004 alpha=90.00 beta=90.00 gamma=90.00
Positions (direct):
Co: 0.000 0.000 0.001
Co: 0.500 0.500 0.501
O: 0.304 0.304 0.664
O: 0.702 0.702 0.995
O: 0.696 0.696 0.664
O: 0.693 0.693 0.338
O: 0.196 0.804 0.164
O: 0.298 0.298 0.995
O: 0.193 0.807 0.838
O: 0.807 0.193 0.838
O: 0.804 0.196 0.164
O: 0.798 0.202 0.495
O: 0.202 0.798 0.495
O: 0.307 0.307 0.338
Mo: 0.000 0.000 0.668
Mo: 0.500 0.500 0.168
Ti: 0.000 0.000 0.339
Ti: 0.500 0.500 0.839